Entry 1:
Density functional theory data (GGA-PBE) for a relaxed structure of BeCu3I.

The structure in POSCAR format:
```
BeCu3I
1.0
4.3563 0.0000 0.0000
0.0000 4.3563 0.0000
0.0000 0.0000 4.3563
Be Cu I
1 3 1
Direct
0.0000 0.0000 0.0000 Be
0.0000 0.0000 0.5000 Cu
0.0000 0.5000 0.0000 Cu
0.5000 0.0000 0.0000 Cu
0.5000 0.5000 0.5000 I
```

Results
Fermi-level density of states = 2.57 states/eV/cell
Size of the total moment = 0.0 μB/f.u.
ΔE_f (raw) = 3.215 eV per formula unit
Excess energy over the best structure of this formula in the dataset = 0 meV/atom

Entry 2:
Density functional theory data (GGA-PBE) for a relaxed structure of Pu2MnS4.

The structure in POSCAR format:
```
Pu2MnS4
1.0
6.9089 0.0000 0.0000
0.0000 10.5580 0.0000
0.0000 0.0000 4.0234
Pu Mn S
4 2 8
Direct
0.1109 0.1834 0.0000 Pu
0.3891 0.6834 0.0000 Pu
0.6109 0.3166 0.0000 Pu
0.8891 0.8166 0.0000 Pu
0.0000 0.5000 0.5000 Mn
0.5000 0.0000 0.5000 Mn
0.1148 0.7119 0.5000 S
0.2444 0.4435 0.0000 S
0.2556 0.9435 0.0000 S
0.3852 0.2119 0.5000 S
0.6148 0.7881 0.5000 S
0.7444 0.0565 0.0000 S
0.7556 0.5565 0.0000 S
0.8852 0.2881 0.5000 S
```

Results
Fermi-level density of states = 34.70 states/eV/cell
Size of the total moment = 5.7 μB/f.u.
ΔE_f (raw) = -9.202 eV per formula unit

Entry 3:
Density functional theory data (GGA-PBE) for a relaxed structure of Ba4SeBr2N.

The structure in POSCAR format:
```
Ba4SeBr2N
1.0
7.8711 0.0000 0.0000
0.0000 4.4328 0.0000
-2.5321 0.0000 7.8495
Ba Se Br N
4 1 2 1
Direct
0.2083 0.0000 0.1989 Ba
0.2270 0.5000 0.7930 Ba
0.7730 0.5000 0.2070 Ba
0.7917 0.0000 0.8011 Ba
0.5000 0.0000 0.0000 Se
0.0000 0.0000 0.5000 Br
0.5000 0.5000 0.5000 Br
0.0000 0.5000 0.0000 N
```

Results
Fermi-level density of states = 3.72 states/eV/cell
Size of the total moment = 0.0 μB/f.u.
ΔE_f (raw) = -11.806 eV per formula unit